# EuHoAl2

A geometry-optimized EuHoAl2 structure (PBE, Alexandria via LeMat-Bulk).

abc: 3.5746 3.5746 9.8668
angles: 79.56 79.56 60.00
Sites, in units of the cell vectors:
Eu  0.5000  0.5000  0.5000
Ho  0.0000  0.0000  0.0000
Al  0.7468  0.7468  0.7597
Al  0.2532  0.2532  0.2403

Values from the calculation:
- Energy above the lowest structure with this stoichiometry: 0.260 eV per atom
- SG: R-3m, No. 166